No. 1
Material: TmGaPdAu
Method: DFT, PBE
State: optimized geometry

Computed properties:
- V (Å³/cell) = 77.1
- ρ (Mg/m³) = 11.7
- SG = No. 8
- formation energy (eV/f.u.) = -3.04
- crystal system = monoclinic

a = 4.5481 Å, b = 5.0708 Å, c = 5.0780 Å
α = 127.20°, β = 116.60°, γ = 90.00°
Sites, in units of the cell vectors:
Ga1 0.9714 0.0265 0.9427
Tm1 0.5049 0.4937 0.0097
Pd1 0.2886 0.7100 0.5772
Au1 0.7352 0.2698 0.4704

---

No. 2
Material: Nd3Sm4Pt4
Method: DFT, PBE
State: optimized geometry

Computed properties:
- V (Å³/cell) = 294.1
- ρ (Mg/m³) = 10.2
- SG = No. 71
- formation energy (eV/f.u.) = -8.92
- crystal system = orthorhombic

a = 4.6943 Å, b = 7.8740 Å, c = 9.1821 Å
α = 115.39°, β = 104.81°, γ = 90.00°
Sites, in units of the cell vectors:
Sm1 0.3303 0.5446 0.6606
Sm2 0.6697 0.8840 0.3394
Sm3 0.3303 0.1160 0.6606
Sm4 0.6697 0.4554 0.3394
Nd1 0.9006 0.9006 0.8013
Nd2 0.0000 0.5000 0.0000
Nd3 0.0994 0.0994 0.1987
Pt1 0.2062 0.7062 0.4124
Pt2 0.5000 0.1831 0.0000
Pt3 0.5000 0.8169 0.0000
Pt4 0.7938 0.2938 0.5876

---

No. 3
Material: YTiRe4
Method: DFT, PBE
State: optimized geometry

Computed properties:
- V (Å³/cell) = 105.7
- ρ (Mg/m³) = 13.9
- SG = No. 216
- formation energy (eV/f.u.) = -0.73
- crystal system = cubic

a = 5.3070 Å, b = 5.3070 Å, c = 5.3070 Å
α = 60.00°, β = 60.00°, γ = 60.00°
Sites, in units of the cell vectors:
Re1 0.6255 0.6255 0.6255
Re2 0.6255 0.1236 0.6255
Re3 0.1236 0.6255 0.6255
Re4 0.6255 0.6255 0.1236
Y1 0.2500 0.2500 0.2500
Ti1 0.0000 0.0000 0.0000